1.
A relaxed structure of Ba3AlAs3, computed with GGA-PBEsol.

Properties
- Theoretical density: 4.91 g/cm³
- Energy: -4.73 eV per atom
- Calculated formation energy: -7.2 eV per formula unit

a = 19.7952 Å, b = 6.8423 Å, c = 13.2637 Å
α = 90.00°, β = 90.00°, γ = 90.00°
Space group Cmce (No. 64)
Symmetry-distinct sites (fractional):
Ba: 0.0000 0.1693 0.1530 (multiplicity 8)
Ba: 0.1756 0.1877 0.8700 (multiplicity 16)
Al: 0.0828 0.0000 0.5000 (multiplicity 8)
As: 0.0000 0.2051 0.4035 (multiplicity 8)
As: 0.1568 0.1916 0.6186 (multiplicity 16)

=====

2.
A relaxed structure of Ba2AlFeAs, computed with GGA-PBEsol.

Properties
- Theoretical density: 4.80 g/cm³
- Energy: -4.42 eV per atom
- Calculated formation energy: 0.4 eV per formula unit

a = 5.8246 Å, b = 5.8246 Å, c = 4.4086 Å
α = 90.00°, β = 90.00°, γ = 90.00°
Space group P4/mmm (No. 123)
Symmetry-distinct sites (fractional):
Ba: 0.0000 0.5000 0.0000 (multiplicity 2)
Al: 0.0000 0.0000 0.5000 (multiplicity 1)
Fe: 0.5000 0.5000 0.0000 (multiplicity 1)
As: 0.5000 0.5000 0.5000 (multiplicity 1)

=====

3.
A relaxed structure of RbBaAlAs2, computed with GGA-PBEsol.

Properties
- Theoretical density: 4.53 g/cm³
- Energy: -3.53 eV per atom
- Calculated formation energy: -0.2 eV per formula unit

a = 5.1858 Å, b = 5.1858 Å, c = 5.4531 Å
α = 90.00°, β = 90.00°, γ = 90.00°
Space group P4/mmm (No. 123)
Symmetry-distinct sites (fractional):
Rb: 0.0000 0.0000 0.0000 (multiplicity 1)
Ba: 0.5000 0.5000 0.0000 (multiplicity 1)
Al: 0.0000 0.0000 0.5000 (multiplicity 1)
As: 0.0000 0.5000 0.5000 (multiplicity 2)

=====

4.
A relaxed structure of BaAlAs2Ru, computed with GGA-PBEsol.

Properties
- Theoretical density: 4.29 g/cm³
- Energy: -3.41 eV per atom
- Calculated formation energy: 9.6 eV per formula unit

a = 5.6258 Å, b = 5.6258 Å, c = 5.0832 Å
α = 90.00°, β = 90.00°, γ = 90.00°
Space group P4/mmm (No. 123)
Symmetry-distinct sites (fractional):
Ba: 0.0000 0.0000 0.0000 (multiplicity 1)
Al: 0.5000 0.5000 0.5000 (multiplicity 1)
As: 0.0000 0.5000 0.0000 (multiplicity 2)
Ru: 0.0000 0.0000 0.5000 (multiplicity 1)